[1]
{
  "formula": "CsCa2Ga2",
  "functional": "GGA-PBEsol",
  "state": "optimized geometry",
  "spacegroup": "I4/mmm",
  "volume_a3_per_atom": 32.613,
  "e_form_ev_per_atom": -0.133,
  "relative_energy_mev_per_atom": 0,
  "lattice": [[5.5929, 0.0000, 0.0000], [0.0000, 5.5929, 0.0000], [-2.7964, -2.7964, 5.2131]],
  "species": ["Ca", "Cs", "Ca", "Ga", "Ga"],
  "fractional_positions": [[0.7500, 0.2500, 0.5000], [0.0000, 0.0000, 0.0000], [0.2500, 0.7500, 0.5000], [0.6147, 0.6147, 0.2295], [0.3853, 0.3853, 0.7705]]
}

***

[2]
{
  "formula": "CuPb2W",
  "functional": "GGA-PBEsol",
  "state": "optimized geometry",
  "spacegroup": "Pmmm",
  "volume_a3_per_atom": 20.211,
  "e_form_ev_per_atom": 1.003,
  "relative_energy_mev_per_atom": 109,
  "lattice": [[-2.6192, 1.4748, -0.9001], [-1.1839, -3.6901, -2.6012], [-2.6979, -2.1663, 4.3010]],
  "species": ["W", "Pb", "Cu", "Pb"],
  "fractional_positions": [[0.5000, 0.5000, 0.0000], [0.0000, 0.0000, 0.0000], [0.0000, 0.5000, 0.5000], [0.5000, 0.0000, 0.5000]]
}

***

Which E_tot belongs to each record? In order, -2.511, -5.532 eV/atom.
Which total magnetization belongs to each record? In order, 0.00, 0.00 μB/f.u..